No. 1
DFT (PBE) results for an optimized crystal structure of BaNa2Ac.

abc: 3.9172 3.9172 42.6055
angles: 90.00 90.00 120.00
Last column: nearest neighbours and their distance in Å.
Space group R-3m (No. 166, hexagonal axes)
Inequivalent atoms, fractional coordinates:
Ba  0.0000  0.0000  0.0000  6 Ba 3.92, 6 Na 4.09
Na  0.0000  0.0000  0.4134  1 Ac 3.69, 6 Na 3.92, 3 Ba 4.09
Ac  0.0000  0.0000  0.5000  2 Na 3.69, 6 Ac 3.92

Summary:
The value obtained for the mass density is 3.6 g/cm3. The calculation puts the formation energy at 0.24 eV/atom.

No. 2
DFT (PBE) results for an optimized crystal structure of Ca2ZrGaCu.

abc: 5.3559 5.3559 4.6350
angles: 90.00 90.00 90.00
Last column: nearest neighbours and their distance in Å.
Space group P4/mmm (No. 123)
Inequivalent atoms, fractional coordinates:
Ca  0.0000  0.5000  0.0000  2 Cu 2.68
Zr  0.0000  0.0000  0.5000  8 Ca 3.54, 4 Ga 3.79
Ga  0.5000  0.5000  0.5000  2 Cu 2.32
Cu  0.5000  0.5000  0.0000  2 Ga 2.32

Summary:
The value obtained for the mass density is 3.8 g/cm3. The calculation puts the formation energy at 0.34 eV/atom.

No. 3
DFT (PBE) results for an optimized crystal structure of Pr2Sm3Hg.

abc: 3.6895 3.6895 14.2850
angles: 90.00 90.00 90.00
Last column: nearest neighbours and their distance in Å.
Space group P4/mmm (No. 123)
Inequivalent atoms, fractional coordinates:
Pr  0.0000  0.0000  0.1808  8 Sm 3.65-3.67, 4 Pr 3.69
Sm  0.5000  0.5000  0.0000  8 Pr 3.67, 4 Sm 3.69
Sm  0.5000  0.5000  0.3599  4 Hg 3.29, 4 Pr 3.65
Hg  0.0000  0.0000  0.5000  8 Sm 3.29

Summary:
The value obtained for the mass density is 8.0 g/cm3. The calculation puts the formation energy at -0.15 eV/atom.

No. 4
DFT (PBE) results for an optimized crystal structure of Nd4AlAg.

abc: 5.4162 22.2830 6.5358
angles: 90.00 90.00 90.00
Last column: nearest neighbours and their distance in Å.
Space group Cmc2_1 (No. 36)
Inequivalent atoms, fractional coordinates:
Nd  0.0000  0.0627  0.0000  3 Ag 3.01-3.33
Nd  0.0000  0.1950  0.2875  1 Ag 3.10, 4 Nd 3.17-3.43, 2 Al 3.24
Nd  0.0000  0.2162  0.8079  4 Nd 3.17-3.43, 3 Al 3.27-3.36
Nd  0.0000  0.3792  0.0640  2 Ag 2.94, 1 Al 3.24
Al  0.0000  0.3404  0.5423  9 Nd 3.24-3.52
Ag  0.0000  0.0721  0.5085  5 Nd 2.94-3.22

Summary:
The value obtained for the mass density is 6.0 g/cm3. The calculation puts the formation energy at 0.00 eV/atom.

No. 5
DFT (PBE) results for an optimized crystal structure of HfMg2Sc.

abc: 3.4734 3.4734 7.3241
angles: 90.00 90.00 90.00
Last column: nearest neighbours and their distance in Å.
Space group P4/mmm (No. 123)
Inequivalent atoms, fractional coordinates:
Hf  0.0000  0.0000  0.0000  8 Mg 3.05
Mg  0.5000  0.5000  0.2475  4 Hf 3.05, 4 Sc 3.07
Sc  0.0000  0.0000  0.5000  8 Mg 3.07

Summary:
The value obtained for the mass density is 5.1 g/cm3. The calculation puts the formation energy at 0.09 eV/atom.

No. 6
DFT (PBE) results for an optimized crystal structure of Ac3NbO6F2.

abc: 12.2752 7.0009 5.2359
angles: 90.00 94.16 90.00
Last column: nearest neighbours and their distance in Å.
Space group C2/m (No. 12)
Inequivalent atoms, fractional coordinates:
Ac  0.0000  0.0000  0.0000  2 F 2.50, 4 O 2.57
Ac  0.2500  0.2500  0.5000  4 O 2.41-2.45, 2 F 2.53
Nb  0.0000  0.5000  0.5000  6 O 2.03-2.09
O  0.0651  0.2770  0.2937  1 Nb 2.09
O  0.1494  0.5000  0.6949  1 Nb 2.03
F  0.1764  0.0000  0.7899  3 Ac 2.50-2.53

Summary:
The value obtained for the mass density is 6.7 g/cm3. The value obtained for the uncorrected formation energy is -37.33 eV/f.u.

No. 7
DFT (PBE) results for an optimized crystal structure of Pr2NdRh3.

abc: 4.1268 5.8284 12.3009
angles: 90.00 90.00 90.00
Last column: nearest neighbours and their distance in Å.
Space group Immm (No. 71)
Inequivalent atoms, fractional coordinates:
Pr  0.0000  0.0000  0.1671  6 Rh 2.91-2.92
Nd  0.0000  0.0000  0.5000  6 Rh 2.89-2.91
Rh  0.0000  0.5000  0.1646  2 Nd 2.89, 4 Pr 2.91-2.92
Rh  0.0000  0.5000  0.5000  4 Pr 2.91, 2 Nd 2.91

Summary:
The value obtained for the mass density is 8.2 g/cm3. The calculation puts the formation energy at -0.48 eV/atom.

No. 8
DFT (PBE) results for an optimized crystal structure of Ca3AgHg12.

abc: 4.6645 4.6645 18.4785
angles: 90.00 90.00 90.00
Last column: nearest neighbours and their distance in Å.
Space group P4/mmm (No. 123)
Inequivalent atoms, fractional coordinates:
Ca  0.0000  0.0000  0.0000  12 Hg 3.30-3.32
Ca  0.0000  0.0000  0.2605  12 Hg 3.26-3.38
Ag  0.0000  0.0000  0.5000  12 Hg 3.17-3.30
Hg  0.0000  0.5000  0.1282  8 Hg 3.28-3.32, 4 Ca 3.32-3.38
Hg  0.0000  0.5000  0.3840  8 Hg 3.17-3.36, 2 Ag 3.17, 2 Ca 3.26
Hg  0.5000  0.5000  0.0000  4 Ca 3.30, 8 Hg 3.32
Hg  0.5000  0.5000  0.2534  8 Hg 3.28-3.36, 4 Ca 3.30
Hg  0.5000  0.5000  0.5000  8 Hg 3.17, 4 Ag 3.30

Summary:
The value obtained for the mass density is 10.9 g/cm3. The calculation puts the formation energy at -0.27 eV/atom.

No. 9
DFT (PBE) results for an optimized crystal structure of LiCd2Sb.

abc: 4.3767 4.3971 4.6307
angles: 90.00 90.00 90.00
Last column: nearest neighbours and their distance in Å.
Space group Pmmm (No. 47)
Inequivalent atoms, fractional coordinates:
Li  0.0000  0.0000  0.0000  4 Sb 3.10, 8 Cd 3.19
Cd  0.0000  0.5000  0.5000  4 Cd 3.10, 4 Sb 3.19, 4 Li 3.19
Cd  0.5000  0.0000  0.5000  4 Cd 3.10, 4 Li 3.19, 4 Sb 3.19
Sb  0.5000  0.5000  0.0000  4 Li 3.10, 8 Cd 3.19

Summary:
The value obtained for the mass density is 6.6 g/cm3. The value obtained for the uncorrected formation energy is -0.71 eV/f.u.

No. 10
DFT (PBE) results for an optimized crystal structure of ZnAsI2O.

abc: 5.8527 5.8527 3.8287
angles: 90.00 90.00 90.00
Last column: nearest neighbours and their distance in Å.
Space group P4/mmm (No. 123)
Inequivalent atoms, fractional coordinates:
Zn  0.0000  0.0000  0.0000  8 I 3.50, 2 Zn 3.83
As  0.5000  0.5000  0.5000  2 O 1.91
I  0.0000  0.5000  0.5000  2 As 2.93
O  0.5000  0.5000  0.0000  2 As 1.91

Summary:
The value obtained for the mass density is 5.2 g/cm3. The value obtained for the uncorrected formation energy is -0.32 eV/f.u.

No. 11
DFT (PBE) results for an optimized crystal structure of CdTe2O5.

abc: 7.5216 11.5567 6.4768
angles: 90.00 90.00 90.00
Last column: nearest neighbours and their distance in Å.
Space group Pbcn (No. 60)
Inequivalent atoms, fractional coordinates:
Cd  0.0000  0.0612  0.2500  6 O 2.29-2.39
Te  0.1328  0.3427  0.0293  3 O 1.88-2.02
O  0.0000  0.4303  0.2500  2 Te 2.02
O  0.1602  0.0667  0.5496  1 Te 1.88
O  0.2032  0.2170  0.1964  1 Te 1.89

Summary:
The value obtained for the mass density is 5.3 g/cm3. The value obtained for the uncorrected formation energy is -8.60 eV/f.u.

No. 12
DFT (PBE) results for an optimized crystal structure of Ba2LiTbTe4.

abc: 8.1093 4.6941 8.1100
angles: 90.00 108.97 90.00
Last column: nearest neighbours and their distance in Å.
Space group P2/m (No. 10)
Inequivalent atoms, fractional coordinates:
Ba  0.0000  0.0000  0.0000  6 Te 3.46-3.47
Ba  0.0000  0.5000  0.5000  6 Te 3.50
Li  0.5000  0.0000  0.5000  6 Te 3.16-3.20
Tb  0.5000  0.5000  0.0000  6 Te 3.11-3.17
Te  0.2854  0.5000  0.2560  1 Tb 3.11, 2 Li 3.20, 2 Ba 3.47
Te  0.2861  0.0000  0.7634  1 Li 3.16, 2 Tb 3.17, 3 Ba 3.46-3.50

Summary:
The value obtained for the mass density is 5.4 g/cm3. The value obtained for the uncorrected formation energy is -11.77 eV/f.u.

| no. | spin magnetization (μB/cell) |
| --- | --- |
| 1 | 0.00 |
| 2 | 1.93 |
| 3 | 0.00 |
| 4 | 0.00 |
| 5 | 0.00 |
| 6 | 0.00 |
| 7 | 0.00 |
| 8 | 0.00 |
| 9 | 0.00 |
| 10 | 0.00 |
| 11 | 0.00 |
| 12 | 0.00 |